First-principles (PBE) data for crystalline PuCoSb2 at its relaxed geometry, as listed in Alexandria via LeMat-Bulk.

Calculated values
DFT total energy	-7.293	eV/atom
formation energy without anion corrections	0.13	eV/atom

abc: 3.3632 3.3632 29.3844
angles: 90.00 90.00 120.00
Space group R-3m (No. 166, hexagonal axes)
Inequivalent atoms, fractional coordinates:
Pu  0.0000  0.0000  0.0000 x3
Co  0.0000  0.0000  0.5000 x3
Sb  0.0000  0.0000  0.1088 x6